[1]
This record from Alexandria describes an optimized crystal structure of Ag2IrAu. The functional is PBE.

Cell lengths 4.8965, 4.8965, 4.8965 Å; angles 129.71, 129.71, 73.87 degrees
Sites, in units of the cell vectors:
Ir 0.7500 0.2500 0.5000
Au 0.5000 0.5000 0.0000
Ag 0.0000 0.0000 0.0000
Ag 0.2500 0.7500 0.5000

Properties
Calculated formation energy (eV/f.u.): 1.57
VASP energy (eV/atom): -4.068
Offset from the most stable computed form (meV per atom): 175.7
Calculated volume (Å³ per cell): 68

---

[2]
This record from Alexandria describes an optimized crystal structure of Ce2ErPt. The functional is PBE.

Cell lengths 3.7582, 3.7582, 7.4796 Å; angles 90.00, 90.00, 90.00 degrees
Each line ends with the local moment (μB).
Sites, in units of the cell vectors:
Ce 0.0000 0.0000 0.8020  0.40
Ce 0.0000 0.0000 0.1980  0.40
Pt 0.5000 0.5000 0.0000  -0.02
Er 0.5000 0.5000 0.5000  0.09

Properties
Calculated formation energy (eV/f.u.): -1.74
VASP energy (eV/atom): -6.052
Offset from the most stable computed form (meV per atom): 0.0
Calculated volume (Å³ per cell): 106

---

[3]
This record from Alexandria describes an optimized crystal structure of Cs2Al2Au. The functional is PBE.

Cell lengths 7.0110, 7.0110, 6.4936 Å; angles 90.00, 90.00, 90.00 degrees
Sites, in units of the cell vectors:
Cs 0.1854 0.6854 0.5000
Cs 0.6854 0.8146 0.5000
Cs 0.8146 0.3146 0.5000
Cs 0.3146 0.1854 0.5000
Au 0.0000 0.0000 0.0000
Au 0.5000 0.5000 0.0000
Al 0.3619 0.8619 0.0000
Al 0.8619 0.6381 0.0000
Al 0.6381 0.1381 0.0000
Al 0.1381 0.3619 0.0000

Properties
Calculated formation energy (eV/f.u.): 0.73
VASP energy (eV/atom): -2.348
Offset from the most stable computed form (meV per atom): 48.6
Calculated volume (Å³ per cell): 319

---

[4]
This record from Alexandria describes an optimized crystal structure of NdZnP. The functional is PBE.

Cell lengths 4.0993, 5.9852, 5.7598 Å; angles 88.46, 90.00, 110.03 degrees
Sites, in units of the cell vectors:
Nd 0.1448 0.2897 0.7568
Nd 0.8552 0.7103 0.2432
Zn 0.4396 0.8792 0.6925
Zn 0.5604 0.1208 0.3075
P 0.1677 0.3355 0.2514
P 0.8323 0.6645 0.7486

Properties
Calculated formation energy (eV/f.u.): -2.58
VASP energy (eV/atom): -4.678
Calculated volume (Å³ per cell): 133

---

[5]
This record from Alexandria describes an optimized crystal structure of LaMg2CdSn. The functional is PBE.

Cell lengths 5.1396, 5.9791, 5.1396 Å; angles 90.00, 90.00, 90.00 degrees
Sites, in units of the cell vectors:
Mg 0.0000 0.0000 0.5000
Mg 0.5000 0.0000 0.0000
Cd 0.0000 0.0000 0.0000
Sn 0.5000 0.5000 0.5000
La 0.0000 0.5000 0.0000

Properties
Calculated formation energy (eV/f.u.): 0.46
VASP energy (eV/atom): -2.515
Calculated volume (Å³ per cell): 158

---

[6]
This record from Alexandria describes an optimized crystal structure of Cu7Ni2Pt2. The functional is PBE.

Cell lengths 5.0529, 5.8750, 5.0529 Å; angles 100.57, 98.93, 100.57 degrees
Sites, in units of the cell vectors:
Cu 0.0973 0.8290 0.5414
Cu 0.4586 0.1710 0.9027
Cu 0.9027 0.1710 0.4586
Cu 0.5414 0.8290 0.0973
Cu 0.0000 0.0000 0.0000
Cu 0.4051 0.1600 0.4051
Cu 0.5949 0.8400 0.5949
Ni 0.7150 0.5000 0.2850
Ni 0.2850 0.5000 0.7150
Pt 0.8066 0.5304 0.8066
Pt 0.1934 0.4696 0.1934

Properties
Calculated formation energy (eV/f.u.): 0.29
VASP energy (eV/atom): -4.729
Offset from the most stable computed form (meV per atom): 0.0
Calculated volume (Å³ per cell): 142